Arrangement w

Computed, not measured: a geometry-optimized Li2LaGa2 structure at the PBE level of DFT.

Lattice parameters (Å, degrees): 6.466 6.466 6.466 140.50 140.50 57.09
Fractional positions:
Li 0.250 0.750 0.500
Li 0.750 0.250 0.500
La 0.000 0.000 0.000
Ga 0.391 0.391 0.000
Ga 0.609 0.609 0.000

Symmetry = I4/mmm, No. 139
Volume = 108.4 Å³/cell

***

Arrangement x

Computed, not measured: a geometry-optimized Li2LaGa2 structure at the PBE level of DFT.

Lattice parameters (Å, degrees): 8.203 8.203 2.950 90.00 90.00 90.00
Fractional positions:
Li 0.116 0.384 0.000
Li 0.384 0.884 0.000
Li 0.616 0.116 0.000
Li 0.884 0.616 0.000
La 0.000 0.000 0.000
La 0.500 0.500 0.000
Ga 0.178 0.678 0.500
Ga 0.322 0.178 0.500
Ga 0.678 0.822 0.500
Ga 0.822 0.322 0.500

Symmetry = P4/mbm, No. 127
Volume = 198.5 Å³/cell

***

Stability summary - winner: arrangement w; margin: 5.8 kJ/mol of atoms.

***

Arrangement w

Computed, not measured: a geometry-optimized Li2LaGa6 structure at the PBE level of DFT.

Lattice parameters (Å, degrees): 7.807 7.807 3.477 90.00 90.00 120.00
Fractional positions:
Li 0.333 0.667 0.000
Li 0.667 0.333 0.000
La 0.000 0.000 0.000
Ga 0.000 0.341 0.500
Ga 0.000 0.659 0.500
Ga 0.341 0.000 0.500
Ga 0.341 0.341 0.500
Ga 0.659 0.000 0.500
Ga 0.659 0.659 0.500

Symmetry = P6/mmm, No. 191
Volume = 183.5 Å³/cell

***

Arrangement x

Computed, not measured: a geometry-optimized Li2LaGa6 structure at the PBE level of DFT.

Lattice parameters (Å, degrees): 7.212 7.212 7.212 145.94 120.01 70.81
Fractional positions:
Li 0.115 0.115 0.000
Li 0.885 0.885 0.000
La 0.500 0.000 0.500
Ga 0.115 0.304 0.811
Ga 0.169 0.500 0.669
Ga 0.493 0.304 0.189
Ga 0.507 0.696 0.811
Ga 0.831 0.500 0.331
Ga 0.885 0.696 0.189

Symmetry = Immm, No. 71
Volume = 179.0 Å³/cell

***

Stability summary - winner: arrangement x; margin: 5.0 kJ/mol of atoms.